# 1
Below is crystalline PaZnIr2 at its relaxed geometry, with properties calculated at the PBE-GGA level.

- Crystal system: orthorhombic
- Formation energy from the elements: -0.57 eV per atom

abc: 5.896 6.859 7.072
angles: 90.00 90.00 90.00
Fractional positions:
Ir  0.935  0.034  0.217
Ir  0.935  0.466  0.217
Ir  0.435  0.966  0.283
Ir  0.065  0.966  0.783
Ir  0.065  0.534  0.783
Ir  0.435  0.534  0.283
Ir  0.565  0.466  0.717
Ir  0.565  0.034  0.717
Pa  0.165  0.250  0.521
Pa  0.335  0.250  0.021
Pa  0.835  0.750  0.479
Pa  0.665  0.750  0.979
Zn  0.832  0.250  0.913
Zn  0.168  0.750  0.087
Zn  0.668  0.250  0.413
Zn  0.332  0.750  0.587

***

# 2
Below is crystalline CaPmNd at its relaxed geometry, with properties calculated at the PBE-GGA level.

- Crystal system: tetragonal
- Formation energy from the elements: 0.09 eV per atom

abc: 3.678 3.678 17.075
angles: 96.18 96.18 90.00
Fractional positions:
Ca  0.946  0.946  0.892
Ca  0.054  0.054  0.108
Nd  0.790  0.790  0.579
Nd  0.210  0.210  0.421
Pm  0.636  0.636  0.272
Pm  0.364  0.364  0.728

***

# 3
Below is crystalline Ce2TlC at its relaxed geometry, with properties calculated at the PBE-GGA level.

- Crystal system: trigonal
- Formation energy from the elements: -0.23 eV per atom

abc: 3.569 3.569 8.852
angles: 90.00 101.63 120.00
Fractional positions:
Ce  0.556  0.278  0.834
Ce  0.444  0.722  0.166
Tl  0.000  0.500  0.500
C  0.000  0.000  0.000

***

# 4
Below is crystalline LaDy4Y15 at its relaxed geometry, with properties calculated at the PBE-GGA level.

- Crystal system: tetragonal
- Formation energy from the elements: 0.03 eV per atom

abc: 5.057 5.057 25.288
angles: 90.00 90.00 90.00
Fractional positions:
Y  0.500  0.000  0.500
Y  0.500  0.000  0.699
Y  0.500  0.500  0.000
Y  0.000  0.500  0.301
Y  0.000  0.500  0.103
Y  0.500  0.500  0.400
Y  0.000  0.500  0.699
Y  0.500  0.000  0.103
Y  0.000  0.500  0.500
Y  0.500  0.500  0.798
Y  0.500  0.500  0.202
Y  0.500  0.000  0.897
Y  0.500  0.500  0.600
Y  0.500  0.000  0.301
Y  0.000  0.500  0.897
Dy  0.000  0.000  0.201
Dy  0.000  0.000  0.401
Dy  0.000  0.000  0.599
Dy  0.000  0.000  0.799
La  0.000  0.000  0.000

***

# 5
Below is crystalline YMgSc4S8 at its relaxed geometry, with properties calculated at the PBE-GGA level.

- Crystal system: trigonal
- E_form (uncorrected): -1822 meV/atom

abc: 7.616 7.616 7.707
angles: 60.39 60.39 60.00
Fractional positions:
S  0.243  0.243  0.271
S  0.250  0.768  0.732
S  0.758  0.758  0.725
S  0.749  0.232  0.270
S  0.749  0.749  0.270
S  0.768  0.250  0.732
S  0.250  0.250  0.732
S  0.232  0.749  0.270
Y  0.001  0.001  0.996
Sc  0.627  0.627  0.119
Sc  0.002  0.002  0.503
Sc  0.002  0.492  0.503
Sc  0.492  0.002  0.503
Mg  0.374  0.374  0.878

***

# 6
Below is crystalline Ca4TlCd3 at its relaxed geometry, with properties calculated at the PBE-GGA level.

- Crystal system: trigonal
- Formation energy from the elements: -0.39 eV per atom

abc: 5.435 5.435 9.457
angles: 73.30 73.30 60.00
Fractional positions:
Ca  0.125  0.125  0.625
Ca  0.375  0.375  0.875
Ca  0.625  0.625  0.125
Ca  0.875  0.875  0.375
Cd  0.249  0.249  0.253
Cd  0.751  0.751  0.747
Cd  0.500  0.500  0.500
Tl  0.000  0.000  0.000

***

# 7
Below is crystalline RbMn3Cl at its relaxed geometry, with properties calculated at the PBE-GGA level.

- Crystal system: cubic
- E_form (uncorrected): 1096 meV/atom

abc: 4.825 4.825 4.825
angles: 90.00 90.00 90.00
Fractional positions:
Rb  0.500  0.500  0.500
Cl  0.000  0.000  0.000
Mn  0.500  0.000  0.000
Mn  0.000  0.000  0.500
Mn  0.000  0.500  0.000

***

# 8
Below is crystalline YLuCuSi at its relaxed geometry, with properties calculated at the PBE-GGA level.

- Crystal system: cubic
- E_form (uncorrected): -430 meV/atom

abc: 4.881 4.881 4.881
angles: 60.00 60.00 60.00
Fractional positions:
Y  0.500  0.500  0.500
Si  0.750  0.750  0.750
Cu  0.250  0.250  0.250
Lu  0.000  0.000  0.000

***

# 9
Below is crystalline AuSeBr2N at its relaxed geometry, with properties calculated at the PBE-GGA level.

- Crystal system: tetragonal
- E_form (uncorrected): 1167 meV/atom

abc: 4.586 4.586 4.685
angles: 90.00 90.00 90.00
Fractional positions:
Au  0.500  0.500  0.500
N  0.000  0.000  0.000
Br  0.500  0.000  0.000
Br  0.000  0.500  0.000
Se  0.000  0.000  0.500

***

# 10
Below is crystalline MnTc2Rh at its relaxed geometry, with properties calculated at the PBE-GGA level.

- Crystal system: trigonal
- Formation energy from the elements: 0.05 eV per atom

abc: 8.827 8.827 8.827
angles: 17.52 17.52 17.52
Fractional positions:
Tc  0.997  0.997  0.997
Tc  0.503  0.503  0.503
Rh  0.750  0.750  0.750
Mn  0.250  0.250  0.250

***

# 11
Below is crystalline SbI2NO at its relaxed geometry, with properties calculated at the PBE-GGA level.

- Crystal system: tetragonal
- E_form (uncorrected): 763 meV/atom

abc: 6.126 6.126 4.026
angles: 90.00 90.00 90.00
Fractional positions:
O  0.000  0.000  0.500
N  0.500  0.500  0.500
Sb  0.000  0.000  0.000
I  0.500  0.000  0.000
I  0.000  0.500  0.000

***

# 12
Below is crystalline TmCd2Bi at its relaxed geometry, with properties calculated at the PBE-GGA level.

- Crystal system: trigonal
- Formation energy from the elements: 0.20 eV per atom

abc: 3.377 3.377 11.938
angles: 81.87 81.87 60.00
Fractional positions:
Bi  0.500  0.500  0.500
Cd  0.913  0.913  0.262
Cd  0.087  0.087  0.738
Tm  0.000  0.000  0.000

***

Number 1: total magnetization 0.00 μB/f.u.. Number 2: total magnetization 0.00 μB/f.u.. Number 3: total magnetization 0.79 μB/f.u.. Number 4: total magnetization 0.00 μB/f.u.. Number 5: total magnetization 0.00 μB/f.u.. Number 6: total magnetization 0.00 μB/f.u.. Number 7: total magnetization 10.54 μB/f.u.. Number 8: total magnetization 0.00 μB/f.u.. Number 9: total magnetization 0.28 μB/f.u.. Number 10: total magnetization 0.00 μB/f.u.. Number 11: total magnetization 2.93 μB/f.u.. Number 12: total magnetization 0.00 μB/f.u..